NaMnBi2O6 | PBE with a Hubbard U | optimized geometry

Values from the calculation:
* E: -5.91 eV per atom
* total magnetization: 2.0 μB per formula unit

a = 5.633 Å, b = 5.633 Å, c = 5.959 Å
α = 61.80°, β = 61.80°, γ = 60.00°
Site moments in Bohr magnetons follow the coordinates.
Element x y z (fractional)
Na: 0.804 0.804 0.589  0.00
Mn: 0.324 0.324 0.029  3.13
Bi: 0.530 0.530 0.409  0.02
Bi: 0.017 0.017 0.948  -0.09
O: 0.573 0.198 0.235  -0.12
O: 0.198 0.994 0.235  -0.12
O: 0.994 0.573 0.235  -0.12
O: 0.416 0.671 0.779  -0.20
O: 0.671 0.135 0.778  -0.20
O: 0.135 0.416 0.778  -0.20